Entry 1:
A PBEsol-optimized structure of FeNi3, computed with meta-GGA SCAN.

abc: 4.2424 4.2424 4.2424
angles: 90.00 90.00 90.00
Closest atoms and distances in Å follow each position.
Fractional coordinates of all 4 atoms:
Fe  0.0000  0.0000  0.0000  6 Ni 2.12
Ni  0.5000  0.0000  0.0000  2 Fe 2.12
Ni  0.0000  0.5000  0.0000  2 Fe 2.12
Ni  0.0000  0.0000  0.5000  2 Fe 2.12

Values from the calculation:
formation enthalpy at 0 K: 1.636 eV/atom


Entry 2:
A PBEsol-optimized structure of Fe2Ni, computed with meta-GGA SCAN.

abc: 2.5478 4.1198 6.4133
angles: 90.00 101.46 90.00
Closest atoms and distances in Å follow each position.
Fractional coordinates of all 6 atoms:
Fe  0.2390  0.2500  0.4781  2 Ni 2.40, 8 Fe 2.44-2.55
Fe  0.5699  0.2500  0.1398  6 Ni 2.45-2.47, 6 Fe 2.48-2.71
Fe  0.7610  0.7500  0.5219  2 Ni 2.40, 8 Fe 2.44-2.55
Fe  0.4301  0.7500  0.8602  6 Ni 2.45-2.47, 6 Fe 2.48-2.71
Ni  0.9012  0.2500  0.8025  8 Fe 2.40-2.47, 2 Ni 2.55
Ni  0.0988  0.7500  0.1975  8 Fe 2.40-2.47, 2 Ni 2.55

Values from the calculation:
formation enthalpy at 0 K: -0.048 eV/atom


Entry 3:
A PBEsol-optimized structure of Fe2Ni, computed with meta-GGA SCAN.

abc: 2.4964 3.3861 4.4260
angles: 112.49 106.38 90.00
Closest atoms and distances in Å follow each position.
Fractional coordinates of all 3 atoms:
Ni  0.5000  0.5000  0.0000  10 Fe 2.47-2.61, 2 Ni 2.50
Fe  0.8348  0.8348  0.6695  5 Ni 2.47-2.61, 7 Fe 2.48-2.57
Fe  0.1652  0.1652  0.3305  5 Ni 2.47-2.61, 7 Fe 2.48-2.57

Values from the calculation:
formation enthalpy at 0 K: -0.061 eV/atom


Entry 4:
A PBEsol-optimized structure of FeNi3, computed with meta-GGA SCAN.

abc: 2.4617 4.0025 4.2829
angles: 90.00 90.00 90.00
Closest atoms and distances in Å follow each position.
Fractional coordinates of all 4 atoms:
Ni  0.5000  0.0000  0.4998  8 Ni 2.45-2.46, 4 Fe 2.46-2.48
Ni  0.5000  0.5000  0.8297  8 Ni 2.45-2.49, 4 Fe 2.46
Ni  0.0000  0.5000  0.3340  2 Fe 2.45, 10 Ni 2.45-2.49
Fe  0.0000  0.0000  0.0032  10 Ni 2.45-2.48, 2 Fe 2.46

Values from the calculation:
formation enthalpy at 0 K: -0.076 eV/atom


Entry 5:
A PBEsol-optimized structure of Fe4Ni, computed with meta-GGA SCAN.

abc: 2.8323 4.6409 4.6409
angles: 84.66 72.23 72.23
Closest atoms and distances in Å follow each position.
Fractional coordinates of all 5 atoms:
Ni  0.0000  0.0000  0.0000  8 Fe 2.45
Fe  0.6019  0.5959  0.2003  6 Fe 2.42, 2 Ni 2.45
Fe  0.8022  0.7997  0.5959  6 Fe 2.42, 2 Ni 2.45
Fe  0.3981  0.4041  0.7997  6 Fe 2.42, 2 Ni 2.45
Fe  0.1978  0.2003  0.4041  6 Fe 2.42, 2 Ni 2.45

Values from the calculation:
formation enthalpy at 0 K: -0.082 eV/atom


Entry 6:
A PBEsol-optimized structure of Fe2Ni, computed with meta-GGA SCAN.

abc: 2.4287 4.7726 6.0441
angles: 105.41 90.00 104.74
Closest atoms and distances in Å follow each position.
Fractional coordinates of all 6 atoms:
Fe  0.9710  0.9419  0.6837  7 Fe 2.42-2.56, 5 Ni 2.46-2.50
Fe  0.6363  0.2726  0.0227  9 Fe 2.43-2.56, 3 Ni 2.49-2.52
Fe  0.3637  0.7274  0.9773  9 Fe 2.43-2.56, 3 Ni 2.49-2.52
Fe  0.0290  0.0581  0.3163  7 Fe 2.42-2.56, 5 Ni 2.46-2.50
Ni  0.3015  0.6030  0.3582  4 Ni 2.43-2.49, 8 Fe 2.46-2.52
Ni  0.6985  0.3970  0.6418  4 Ni 2.43-2.49, 8 Fe 2.46-2.52

Values from the calculation:
formation enthalpy at 0 K: 0.009 eV/atom


Entry 7:
A PBEsol-optimized structure of Fe2Ni, computed with meta-GGA SCAN.

abc: 3.4658 4.9719 7.5140
angles: 90.00 90.00 90.00
Closest atoms and distances in Å follow each position.
Fractional coordinates of all 12 atoms:
Fe  0.7500  0.8660  0.7577  7 Fe 2.44-2.55, 5 Ni 2.45-2.49
Fe  0.2500  0.6340  0.2577  7 Fe 2.44-2.55, 5 Ni 2.45-2.49
Fe  0.7500  0.3660  0.7423  7 Fe 2.44-2.55, 5 Ni 2.45-2.49
Fe  0.2500  0.1340  0.2423  7 Fe 2.44-2.55, 5 Ni 2.45-2.49
Fe  0.7500  0.8796  0.4189  7 Fe 2.43-2.55, 5 Ni 2.48-2.51
Fe  0.2500  0.6204  0.9189  7 Fe 2.43-2.55, 5 Ni 2.48-2.51
Fe  0.7500  0.3796  0.0811  7 Fe 2.43-2.55, 5 Ni 2.48-2.51
Fe  0.2500  0.1204  0.5811  7 Fe 2.43-2.55, 5 Ni 2.48-2.51
Ni  0.7500  0.3808  0.4156  10 Fe 2.45-2.51, 2 Ni 2.45
Ni  0.2500  0.1192  0.9156  10 Fe 2.45-2.51, 2 Ni 2.45
Ni  0.7500  0.8808  0.0844  10 Fe 2.45-2.51, 2 Ni 2.45
Ni  0.2500  0.6192  0.5844  10 Fe 2.45-2.51, 2 Ni 2.45

Values from the calculation:
formation enthalpy at 0 K: -0.061 eV/atom


Entry 8:
A PBEsol-optimized structure of Fe3Ni, computed with meta-GGA SCAN.

abc: 3.9708 3.9708 3.9708
angles: 60.00 60.00 60.00
Closest atoms and distances in Å follow each position.
Fractional coordinates of all 4 atoms:
Ni  0.0000  0.0000  0.0000  8 Fe 2.43
Fe  0.2500  0.2500  0.2500  4 Fe 2.43, 4 Ni 2.43
Fe  0.5000  0.5000  0.5000  8 Fe 2.43
Fe  0.7500  0.7500  0.7500  4 Fe 2.43, 4 Ni 2.43

Values from the calculation:
formation enthalpy at 0 K: -0.090 eV/atom


Entry 9:
A PBEsol-optimized structure of FeNi4, computed with meta-GGA SCAN.

abc: 3.4728 4.2588 4.2588
angles: 80.43 65.94 65.94
Closest atoms and distances in Å follow each position.
Fractional coordinates of all 5 atoms:
Fe  0.0000  0.0000  0.0000  12 Ni 2.46
Ni  0.3995  0.8002  0.4009  9 Ni 2.45-2.46, 3 Fe 2.46
Ni  0.1996  0.4009  0.1998  9 Ni 2.45-2.46, 3 Fe 2.46
Ni  0.6005  0.1998  0.5991  9 Ni 2.45-2.46, 3 Fe 2.46
Ni  0.8004  0.5991  0.8002  9 Ni 2.45-2.46, 3 Fe 2.46

Values from the calculation:
formation enthalpy at 0 K: -0.087 eV/atom


Entry 10:
A PBEsol-optimized structure of Fe4Ni3, computed with meta-GGA SCAN.

abc: 2.8623 2.8623 9.5851
angles: 98.59 98.59 90.00
Closest atoms and distances in Å follow each position.
Fractional coordinates of all 7 atoms:
Fe  0.1462  0.1462  0.2923  5 Ni 2.39-2.62, 4 Fe 2.45
Fe  0.8538  0.8538  0.7077  5 Ni 2.39-2.62, 4 Fe 2.45
Fe  0.4272  0.4272  0.8544  5 Ni 2.44-2.64, 5 Fe 2.45-2.73
Fe  0.5728  0.5728  0.1456  5 Ni 2.44-2.64, 5 Fe 2.45-2.73
Ni  0.0000  0.0000  0.0000  8 Fe 2.44
Ni  0.2861  0.2861  0.5721  6 Fe 2.39-2.64, 4 Ni 2.43
Ni  0.7139  0.7139  0.4279  6 Fe 2.39-2.64, 4 Ni 2.43

Values from the calculation:
formation enthalpy at 0 K: -0.050 eV/atom
distance to the lowest polymorph of the same formula: 0 meV per atom


Entry 11:
A PBEsol-optimized structure of Fe4Ni3, computed with meta-GGA SCAN.

abc: 4.4165 4.5089 4.5089
angles: 120.00 90.00 90.00
Closest atoms and distances in Å follow each position.
Fractional coordinates of all 7 atoms:
Fe  0.7432  0.0000  0.0000  2 Fe 2.15-2.27
Fe  0.2568  0.0000  0.0000  2 Fe 2.15-2.27
Fe  0.5000  0.3333  0.6667  6 Ni 2.56, 9 Fe 2.60-2.82
Fe  0.5000  0.6667  0.3333  6 Ni 2.56, 9 Fe 2.60-2.82
Ni  0.0000  0.0000  0.5000  4 Ni 2.25, 4 Fe 2.52
Ni  0.0000  0.5000  0.0000  4 Ni 2.25, 4 Fe 2.52
Ni  0.0000  0.5000  0.5000  4 Ni 2.25, 4 Fe 2.52

Values from the calculation:
formation enthalpy at 0 K: -0.047 eV/atom
distance to the lowest polymorph of the same formula: 2 meV per atom


Entry 12:
A PBEsol-optimized structure of FeNi5, computed with meta-GGA SCAN.

abc: 2.4540 4.0087 6.5057
angles: 90.00 100.87 90.00
Closest atoms and distances in Å follow each position.
Fractional coordinates of all 6 atoms:
Fe  0.0008  0.0000  0.0016  10 Ni 2.45-2.47, 2 Fe 2.45
Ni  0.3333  0.0000  0.6666  10 Ni 2.45-2.46, 2 Fe 2.47
Ni  0.6664  0.0000  0.3327  2 Fe 2.45, 10 Ni 2.45-2.46
Ni  0.4435  0.5000  0.8870  8 Ni 2.45-2.47, 4 Fe 2.46
Ni  0.7778  0.5000  0.5556  12 Ni 2.45-2.46
Ni  0.1116  0.5000  0.2232  10 Ni 2.45-2.47, 2 Fe 2.45

Values from the calculation:
formation enthalpy at 0 K: -0.043 eV/atom


Entry 13:
A PBEsol-optimized structure of FeNi3, computed with meta-GGA SCAN.

abc: 2.4552 2.4552 8.1788
angles: 81.32 81.32 59.99
Closest atoms and distances in Å follow each position.
Fractional coordinates of all 4 atoms:
Ni  0.2501  0.2501  0.2496  9 Ni 2.46-2.47, 3 Fe 2.46
Ni  0.5000  0.5000  0.5000  12 Ni 2.46-2.47
Ni  0.7498  0.7498  0.7504  9 Ni 2.46-2.47, 3 Fe 2.46
Fe  0.0000  0.0000  0.0000  6 Fe 2.46, 6 Ni 2.46

Values from the calculation:
formation enthalpy at 0 K: -0.032 eV/atom


Entry 14:
A PBEsol-optimized structure of Fe3Ni, computed with meta-GGA SCAN.

abc: 2.4209 4.3634 4.3052
angles: 97.91 106.33 90.00
Closest atoms and distances in Å follow each position.
Fractional coordinates of all 4 atoms:
Ni  0.5000  0.0000  0.0000  2 Ni 2.42, 10 Fe 2.47-2.50
Fe  0.2448  0.2467  0.4895  9 Fe 2.42-2.54, 3 Ni 2.47-2.50
Fe  0.7552  0.7533  0.5105  9 Fe 2.42-2.54, 3 Ni 2.47-2.50
Fe  0.0000  0.5000  0.0000  8 Fe 2.42-2.54, 4 Ni 2.50

Values from the calculation:
formation enthalpy at 0 K: 0.002 eV/atom